Here is a crystal of Y2CdSe relaxed with PBEsol from Alexandria. Energies are from SCAN.

The structure in POSCAR format:
```
Y2CdSe
1.0
4.548 0.000 0.000
0.000 1.896 5.628
0.000 -1.896 5.628
Y Cd Se
2 1 1
Direct
0.000 0.000 0.000
0.500 0.267 0.267
0.000 0.737 0.737
0.500 0.529 0.529
```

Results
Total energy ... -110.14 eV/f.u.
SG ... Amm2 (38)
Offset from the most stable computed form ... 4.34 kcal/mol of atoms
Calculated volume ... 24.3 Å³ per atom
E_form (uncorrected) ... -0.990 eV/atom
Crystal system ... orthorhombic

***

Here is a crystal of PIrCl2 relaxed with PBEsol from Alexandria. Energies are from SCAN.

The structure in POSCAR format:
```
PIrCl2
1.0
1.712 0.989 7.686
-1.712 0.989 7.686
0.000 -1.977 7.686
P Ir Cl
1 1 2
Direct
0.000 0.000 0.000
0.713 0.713 0.713
0.252 0.252 0.252
0.450 0.450 0.450
```

Results
Total energy ... -98.95 eV/f.u.
SG ... R3m (160)
Offset from the most stable computed form ... 10.28 kcal/mol of atoms
Calculated volume ... 19.5 Å³ per atom
E_form (uncorrected) ... -0.375 eV/atom
Crystal system ... trigonal

***

Here is a crystal of Tl2In2Sn relaxed with PBEsol from Alexandria. Energies are from SCAN.

The structure in POSCAR format:
```
Tl2In2Sn
1.0
7.705 0.000 0.000
0.000 7.705 0.000
0.000 0.000 4.727
Tl In Sn
4 4 2
Direct
0.171 0.329 0.000
0.329 0.829 0.000
0.671 0.171 0.000
0.829 0.671 0.000
0.135 0.635 0.500
0.365 0.135 0.500
0.635 0.865 0.500
0.865 0.365 0.500
0.000 0.000 0.500
0.500 0.500 0.500
```

Results
Total energy ... -247.02 eV/f.u.
SG ... P4/mbm (127)
Energy of formation ... 78 meV per atom
Calculated volume ... 28.1 Å³ per atom
Crystal system ... tetragonal

***

Here is a crystal of Mg2AlSi relaxed with PBEsol from Alexandria. Energies are from SCAN.

The structure in POSCAR format:
```
Mg2AlSi
1.0
0.000 3.329 3.329
3.329 0.000 3.329
3.329 3.329 0.000
Mg Al Si
2 1 1
Direct
0.250 0.250 0.250
0.750 0.750 0.750
0.000 0.000 0.000
0.500 0.500 0.500
```

Results
Total energy ... -27.05 eV/f.u.
SG ... Fm-3m (225)
Calculated volume ... 18.4 Å³ per atom
E_form (uncorrected) ... 0.167 eV/atom
Crystal system ... cubic

***

Here is a crystal of Ca2AuSe relaxed with PBEsol from Alexandria. Energies are from SCAN.

The structure in POSCAR format:
```
Ca2AuSe
1.0
4.200 0.000 0.000
0.000 4.200 0.000
0.000 0.000 5.887
Ca Au Se
2 1 1
Direct
0.000 0.000 0.000
0.500 0.500 0.500
0.000 0.000 0.500
0.500 0.500 0.000
```

Results
Total energy ... -114.32 eV/f.u.
SG ... P4/mmm (123)
Calculated volume ... 26.0 Å³ per atom
E_form (uncorrected) ... -1.440 eV/atom
Crystal system ... tetragonal

***

Here is a crystal of RuW2Br relaxed with PBEsol from Alexandria. Energies are from SCAN.

The structure in POSCAR format:
```
RuW2Br
1.0
1.456 0.841 8.674
-1.456 0.841 8.674
0.000 -1.681 8.674
Ru W Br
1 2 1
Direct
0.000 0.000 0.000
0.498 0.498 0.498
0.742 0.742 0.742
0.243 0.243 0.243
```

Results
Total energy ... -191.10 eV/f.u.
SG ... R3m (160)
Offset from the most stable computed form ... 0.00 kcal/mol of atoms
Calculated volume ... 15.9 Å³ per atom
E_form (uncorrected) ... 0.641 eV/atom
Crystal system ... trigonal

***

Here is a crystal of Ca2NiAg relaxed with PBEsol from Alexandria. Energies are from SCAN.

The structure in POSCAR format:
```
Ca2NiAg
1.0
-1.770 2.338 5.339
1.770 -2.338 5.339
1.770 2.338 -5.339
Ca Ni Ag
2 1 1
Direct
0.000 0.000 0.000
0.708 0.208 0.500
0.241 0.741 0.500
0.417 0.417 0.000
```

Results
Total energy ... -66.96 eV/f.u.
SG ... Imm2 (44)
Energy of formation ... -23 meV per atom
Calculated volume ... 22.1 Å³ per atom
Crystal system ... orthorhombic

***

Here is a crystal of LaCuSe2N relaxed with PBEsol from Alexandria. Energies are from SCAN.

The structure in POSCAR format:
```
LaCuSe2N
1.0
4.934 0.000 0.000
0.000 4.934 0.000
0.000 0.000 3.804
La Cu Se N
1 1 2 1
Direct
0.000 0.000 0.000
0.500 0.500 0.500
0.000 0.500 0.500
0.500 0.000 0.500
0.500 0.500 0.000
```

Results
Total energy ... -110.29 eV/f.u.
SG ... P4/mmm (123)
Calculated volume ... 18.5 Å³ per atom
E_form (uncorrected) ... -0.508 eV/atom
Crystal system ... tetragonal

***

Here is a crystal of Nb2InFeH relaxed with PBEsol from Alexandria. Energies are from SCAN.

The structure in POSCAR format:
```
Nb2InFeH
1.0
4.487 0.000 0.000
0.000 4.487 0.000
0.000 0.000 4.814
Nb In Fe H
2 1 1 1
Direct
0.000 0.500 0.000
0.500 0.000 0.000
0.000 0.000 0.500
0.000 0.000 0.000
0.500 0.500 0.500
```

Results
Total energy ... -115.25 eV/f.u.
SG ... P4/mmm (123)
Calculated volume ... 19.4 Å³ per atom
Crystal system ... tetragonal

***

Here is a crystal of ReBiOF2 relaxed with PBEsol from Alexandria. Energies are from SCAN.

The structure in POSCAR format:
```
ReBiOF2
1.0
4.576 0.000 0.000
0.000 4.576 0.000
0.000 0.000 4.490
Re Bi O F
1 1 1 2
Direct
0.000 0.000 0.000
0.500 0.500 0.500
0.500 0.500 0.000
0.000 0.500 0.500
0.500 0.000 0.500
```

Results
Total energy ... -163.20 eV/f.u.
SG ... P4/mmm (123)
Offset from the most stable computed form ... 15.54 kcal/mol of atoms
Calculated volume ... 18.8 Å³ per atom
E_form (uncorrected) ... -0.042 eV/atom
Crystal system ... tetragonal

***

Here is a crystal of La2Ni2O5 relaxed with PBEsol from Alexandria. Energies are from SCAN.

The structure in POSCAR format:
```
La2Ni2O5
1.0
-2.659 7.453 2.724
2.659 -7.453 2.724
2.659 7.453 -2.724
La Ni O
4 4 10
Direct
0.134 0.011 0.123
0.388 0.011 0.377
0.612 0.989 0.623
0.866 0.989 0.877
0.000 0.500 0.500
0.232 0.482 0.750
0.500 0.500 0.000
0.768 0.518 0.250
0.049 0.420 0.629
0.268 0.000 0.768
0.268 0.500 0.268
0.291 0.420 0.871
0.500 0.000 0.000
0.500 0.500 0.500
0.709 0.580 0.129
0.732 0.000 0.232
0.732 0.500 0.732
0.951 0.580 0.371
```

Results
Total energy ... -172.42 eV/f.u.
SG ... Imma (74)
Calculated volume ... 12.0 Å³ per atom
E_form (uncorrected) ... -2.524 eV/atom
Crystal system ... orthorhombic

***

Here is a crystal of MgZnSe2 relaxed with PBEsol from Alexandria. Energies are from SCAN.

The structure in POSCAR format:
```
MgZnSe2
1.0
3.712 -3.552 0.000
3.712 3.552 0.000
-1.888 0.000 3.459
Mg Zn Se
1 1 2
Direct
0.000 0.000 0.000
0.500 0.500 0.000
0.000 0.500 0.000
0.500 0.000 0.000
```

Results
Total energy ... -60.98 eV/f.u.
SG ... C2/m (12)
Calculated volume ... 22.8 Å³ per atom
E_form (uncorrected) ... -0.584 eV/atom
Crystal system ... monoclinic

***

Here is a crystal of SrHfS2N relaxed with PBEsol from Alexandria. Energies are from SCAN.

The structure in POSCAR format:
```
SrHfS2N
1.0
5.167 0.000 0.000
0.000 5.167 0.000
0.000 0.000 4.038
Sr Hf S N
1 1 2 1
Direct
0.000 0.000 0.000
0.500 0.500 0.500
0.000 0.500 0.000
0.500 0.000 0.000
0.000 0.000 0.500
```

Results
Total energy ... -109.29 eV/f.u.
SG ... P4/mmm (123)
Calculated volume ... 21.6 Å³ per atom
E_form (uncorrected) ... 0.842 eV/atom
Crystal system ... tetragonal

***

Here is a crystal of LiCa2La relaxed with PBEsol from Alexandria. Energies are from SCAN.

The structure in POSCAR format:
```
LiCa2La
1.0
-2.493 2.493 5.600
2.493 -2.493 5.600
2.493 2.493 -5.600
Li Ca La
1 2 1
Direct
0.000 0.000 0.000
0.250 0.750 0.500
0.750 0.250 0.500
0.500 0.500 0.000
```

Results
Total energy ... -64.03 eV/f.u.
SG ... I4/mmm (139)
Energy of formation ... 197 meV per atom
Offset from the most stable computed form ... 3.08 kcal/mol of atoms
Calculated volume ... 34.8 Å³ per atom
Crystal system ... tetragonal

***

Here is a crystal of TaW2Au relaxed with PBEsol from Alexandria. Energies are from SCAN.

The structure in POSCAR format:
```
TaW2Au
1.0
2.720 0.000 0.000
0.000 4.675 0.000
-0.625 0.000 5.157
Ta W Au
1 2 1
Direct
0.000 0.000 0.000
0.268 0.500 0.758
0.732 0.500 0.242
0.500 0.000 0.500
```

Results
Total energy ... -274.19 eV/f.u.
SG ... P2/m (10)
Energy of formation ... 233 meV per atom
Offset from the most stable computed form ... 2.61 kcal/mol of atoms
Calculated volume ... 16.4 Å³ per atom
Crystal system ... monoclinic

***

Here is a crystal of GaSeO2 relaxed with PBEsol from Alexandria. Energies are from SCAN.

The structure in POSCAR format:
```
GaSeO2
1.0
1.469 0.848 6.853
-1.469 0.848 6.853
0.000 -1.696 6.853
Ga Se O
1 1 2
Direct
0.000 0.000 0.000
0.500 0.500 0.500
0.094 0.094 0.094
0.906 0.906 0.906
```

Results
Total energy ... -49.20 eV/f.u.
SG ... R-3m (166)
Offset from the most stable computed form ... 13.86 kcal/mol of atoms
Calculated volume ... 12.8 Å³ per atom
E_form (uncorrected) ... -0.078 eV/atom
Crystal system ... trigonal

***

Here is a crystal of Ba2TlRh2 relaxed with PBEsol from Alexandria. Energies are from SCAN.

The structure in POSCAR format:
```
Ba2TlRh2
1.0
-1.822 1.822 10.467
1.822 -1.822 10.467
1.822 1.822 -10.467
Ba Tl Rh
2 1 2
Direct
0.124 0.124 0.000
0.876 0.876 0.000
0.500 0.500 0.000
0.250 0.750 0.500
0.750 0.250 0.500
```

Results
Total energy ... -219.23 eV/f.u.
SG ... I4/mmm (139)
Energy of formation ... -46 meV per atom
Calculated volume ... 27.8 Å³ per atom
Crystal system ... tetragonal

***

Here is a crystal of LiScGe2Te relaxed with PBEsol from Alexandria. Energies are from SCAN.

The structure in POSCAR format:
```
LiScGe2Te
1.0
5.422 0.000 0.000
0.000 5.422 0.000
0.000 0.000 4.561
Li Sc Ge Te
1 1 2 1
Direct
0.000 0.000 0.000
0.500 0.500 0.000
0.000 0.500 0.500
0.500 0.000 0.500
0.000 0.000 0.500
```

Results
Total energy ... -89.69 eV/f.u.
SG ... P4/mmm (123)
Calculated volume ... 26.8 Å³ per atom
E_form (uncorrected) ... 0.473 eV/atom
Crystal system ... tetragonal

***

Here is a crystal of Tm2MgCu2 relaxed with PBEsol from Alexandria. Energies are from SCAN.

The structure in POSCAR format:
```
Tm2MgCu2
1.0
7.485 0.000 0.000
0.000 7.485 0.000
0.000 0.000 3.523
Tm Mg Cu
4 2 4
Direct
0.168 0.332 0.000
0.332 0.832 0.000
0.668 0.168 0.000
0.832 0.668 0.000
0.000 0.000 0.500
0.500 0.500 0.500
0.123 0.623 0.500
0.377 0.123 0.500
0.623 0.877 0.500
0.877 0.377 0.500
```

Results
Total energy ... -140.56 eV/f.u.
SG ... P4/mbm (127)
Energy of formation ... -305 meV per atom
Calculated volume ... 19.7 Å³ per atom
Crystal system ... tetragonal

***

Here is a crystal of Na2SnGeB relaxed with PBEsol from Alexandria. Energies are from SCAN.

The structure in POSCAR format:
```
Na2SnGeB
1.0
5.916 0.000 0.000
0.000 5.916 0.000
0.000 0.000 3.974
Na Sn Ge B
2 1 1 1
Direct
0.000 0.500 0.000
0.500 0.000 0.000
0.000 0.000 0.000
0.500 0.500 0.500
0.000 0.000 0.500
```

Results
Total energy ... -66.21 eV/f.u.
SG ... P4/mmm (123)
Energy of formation ... 932 meV per atom
Calculated volume ... 27.8 Å³ per atom
Crystal system ... tetragonal

***

Here is a crystal of In2Ge2Au relaxed with PBEsol from Alexandria. Energies are from SCAN.

The structure in POSCAR format:
```
In2Ge2Au
1.0
-2.349 2.349 5.222
2.349 -2.349 5.222
2.349 2.349 -5.222
In Ge Au
2 2 1
Direct
0.250 0.750 0.500
0.750 0.250 0.500
0.113 0.113 0.000
0.887 0.887 0.000
0.500 0.500 0.000
```

Results
Total energy ... -172.31 eV/f.u.
SG ... I4/mmm (139)
Energy of formation ... 360 meV per atom
Calculated volume ... 23.0 Å³ per atom
Crystal system ... tetragonal

***

Here is a crystal of BeCoAu relaxed with PBEsol from Alexandria. Energies are from SCAN.

The structure in POSCAR format:
```
BeCoAu
1.0
-1.368 1.368 4.615
1.368 -1.368 4.615
1.368 1.368 -4.615
Be Co Au
1 1 1
Direct
0.000 0.000 0.000
0.623 0.623 0.000
0.327 0.327 0.000
```

Results
Total energy ... -90.91 eV/f.u.
SG ... I4mm (107)
Energy of formation ... -33 meV per atom
Calculated volume ... 11.5 Å³ per atom
Crystal system ... tetragonal

***

Here is a crystal of ScAg2Au relaxed with PBEsol from Alexandria. Energies are from SCAN.

The structure in POSCAR format:
```
ScAg2Au
1.0
-2.092 2.092 3.971
2.092 -2.092 3.971
2.092 2.092 -3.971
Sc Ag Au
1 2 1
Direct
0.000 0.000 0.000
0.250 0.750 0.500
0.500 0.500 0.000
0.750 0.250 0.500
```

Results
Total energy ... -148.01 eV/f.u.
SG ... I-4m2 (119)
Energy of formation ... -470 meV per atom
Offset from the most stable computed form ... 0.00 kcal/mol of atoms
Calculated volume ... 17.4 Å³ per atom
Crystal system ... tetragonal

***

Here is a crystal of Na2ZrSi2O7 relaxed with PBEsol from Alexandria. Energies are from SCAN.

The structure in POSCAR format:
```
Na2ZrSi2O7
1.0
5.477 0.000 0.000
0.420 6.563 0.000
0.301 2.914 8.403
Na Zr Si O
4 2 4 14
Direct
0.237 0.390 0.109
0.259 0.156 0.509
0.741 0.844 0.491
0.763 0.610 0.891
0.276 0.794 0.273
0.724 0.206 0.727
0.190 0.560 0.664
0.273 0.851 0.854
0.727 0.149 0.146
0.810 0.440 0.336
0.039 0.010 0.780
0.095 0.506 0.329
0.219 0.611 0.836
0.224 0.781 0.515
0.309 0.788 0.045
0.391 0.370 0.665
0.471 0.074 0.242
0.529 0.926 0.758
0.609 0.630 0.335
0.691 0.212 0.955
0.776 0.219 0.485
0.781 0.389 0.164
0.905 0.494 0.671
0.961 0.990 0.220
```

Results
Total energy ... -139.19 eV/f.u.
SG ... P-1 (2)
Calculated volume ... 12.6 Å³ per atom
E_form (uncorrected) ... -3.034 eV/atom
Crystal system ... triclinic

***

Here is a crystal of CaPRuN2 relaxed with PBEsol from Alexandria. Energies are from SCAN.

The structure in POSCAR format:
```
CaPRuN2
1.0
3.806 0.000 0.000
0.000 3.806 0.000
0.000 0.000 4.411
Ca P Ru N
1 1 1 2
Direct
0.000 0.000 0.000
0.500 0.500 0.500
0.500 0.500 0.000
0.000 0.500 0.500
0.500 0.000 0.500
```

Results
Total energy ... -69.30 eV/f.u.
SG ... P4/mmm (123)
Calculated volume ... 12.8 Å³ per atom
E_form (uncorrected) ... 0.834 eV/atom
Crystal system ... tetragonal

***

Here is a crystal of Tb4Sb6Rh7 relaxed with PBEsol from Alexandria. Energies are from SCAN.

The structure in POSCAR format:
```
Tb4Sb6Rh7
1.0
-4.335 4.335 4.335
4.335 -4.335 4.335
4.335 4.335 -4.335
Tb Sb Rh
4 6 7
Direct
0.000 0.000 0.500
0.000 0.500 0.000
0.500 0.000 0.000
0.500 0.500 0.500
0.000 0.317 0.317
0.000 0.683 0.683
0.317 0.000 0.317
0.317 0.317 0.000
0.683 0.000 0.683
0.683 0.683 0.000
0.000 0.000 0.000
0.250 0.500 0.750
0.250 0.750 0.500
0.500 0.250 0.750
0.500 0.750 0.250
0.750 0.250 0.500
0.750 0.500 0.250
```

Results
Total energy ... -664.06 eV/f.u.
SG ... Im-3m (229)
Calculated volume ... 19.2 Å³ per atom
E_form (uncorrected) ... -1.002 eV/atom
Crystal system ... cubic